Entry 1:
Entry from the Alexandria database: an optimized crystal structure of SrDyCdIn (GGA-PBE).

```
data_SrDyCdIn
_cell_length_a 7.796
_cell_length_b 7.796
_cell_length_c 7.796
_cell_angle_alpha 90.00
_cell_angle_beta 90.00
_cell_angle_gamma 90.00
_space_group_name_H-M_alt 'F -4 3 m'
_space_group_IT_number 216
_space_group_name_Hall 'F -4 2 3'
loop_
_atom_site_label
_atom_site_type_symbol
_atom_site_fract_x
_atom_site_fract_y
_atom_site_fract_z
Sr1 Sr 0.000 0.000 0.000
Dy1 Dy 0.000 0.000 0.500
Cd1 Cd 0.250 0.250 0.750
In1 In 0.250 0.250 0.250
```

Summary:
Electronic total energy   -11.319 eV/f.u.
Crystal system   cubic
DOS at the Fermi energy   2.664 states/eV/f.u.
ΔE to the lowest computed polymorph   41.4 meV per atom

---

Entry 2:
Entry from the Alexandria database: an optimized crystal structure of SrDyCdIn (GGA-PBE).

```
data_SrDyCdIn
_cell_length_a 3.854
_cell_length_b 3.854
_cell_length_c 7.985
_cell_angle_alpha 90.00
_cell_angle_beta 90.00
_cell_angle_gamma 90.00
_space_group_name_H-M_alt 'P 4 m m'
_space_group_IT_number 99
loop_
_space_group_symop_operation_xyz
'x,y,z'
'-y,x,z'
'-x,-y,z'
'y,-x,z'
'-x,y,z'
'y,x,z'
'x,-y,z'
'-y,-x,z'
loop_
_atom_site_label
_atom_site_type_symbol
_atom_site_fract_x
_atom_site_fract_y
_atom_site_fract_z
Sr1 Sr 0.000 0.000 0.000
Dy1 Dy 0.000 0.000 0.505
Cd1 Cd 0.500 0.500 0.721
In1 In 0.500 0.500 0.279
```

Summary:
Electronic total energy   -11.484 eV/f.u.
Crystal system   tetragonal
DOS at the Fermi energy   2.941 states/eV/f.u.
ΔE to the lowest computed polymorph   0.0 meV per atom

---

Entry 3:
Entry from the Alexandria database: an optimized crystal structure of TbDy2Cd2In2 (GGA-PBE).

```
data_TbDy2Cd2In2
_cell_length_a 4.9393
_cell_length_b 4.9393
_cell_length_c 26.8105
_cell_angle_alpha 90.00
_cell_angle_beta 90.00
_cell_angle_gamma 120.00
_space_group_name_H-M_alt 'R -3 m'
_space_group_IT_number 166
_space_group_name_Hall '-R 3 2"'
loop_
_atom_site_label
_atom_site_type_symbol
_atom_site_fract_x
_atom_site_fract_y
_atom_site_fract_z
Tb1 Tb 0.0000 0.0000 0.0000
Dy1 Dy 0.0000 0.0000 0.1281
Cd1 Cd 0.0000 0.0000 0.3966
In1 In 0.0000 0.0000 0.2590
```

Summary:
Electronic total energy   -22.896 eV/f.u.
Crystal system   trigonal
DOS at the Fermi energy   3.944 states/eV/f.u.

---

Repeat the first record exactly.
Entry from the Alexandria database: an optimized crystal structure of SrDyCdIn (GGA-PBE).

```
data_SrDyCdIn
_cell_length_a 7.796
_cell_length_b 7.796
_cell_length_c 7.796
_cell_angle_alpha 90.00
_cell_angle_beta 90.00
_cell_angle_gamma 90.00
_space_group_name_H-M_alt 'F -4 3 m'
_space_group_IT_number 216
_space_group_name_Hall 'F -4 2 3'
loop_
_atom_site_label
_atom_site_type_symbol
_atom_site_fract_x
_atom_site_fract_y
_atom_site_fract_z
Sr1 Sr 0.000 0.000 0.000
Dy1 Dy 0.000 0.000 0.500
Cd1 Cd 0.250 0.250 0.750
In1 In 0.250 0.250 0.250
```

Summary:
Electronic total energy   -11.319 eV/f.u.
Crystal system   cubic
DOS at the Fermi energy   2.664 states/eV/f.u.
ΔE to the lowest computed polymorph   41.4 meV per atom